A relaxed structure of NaEr2Tl2Pb5, computed with PBE-GGA.

Lattice parameters (Å, degrees): 5.0384 10.9997 10.9997 90.00 90.00 90.00
Closest atoms and distances in Å follow each position.
Atoms (fractional coordinates):
Pb: 0.5000 0.4134 0.3075  2 Er 3.28, 4 Pb 3.28-3.51, 2 Na 3.43, 2 Tl 3.62
Pb: 0.5000 0.0866 0.8075  2 Er 3.28, 4 Pb 3.28-3.51, 2 Na 3.43, 2 Tl 3.62
Pb: 0.5000 0.1925 0.0866  2 Er 3.28, 4 Pb 3.28-3.51, 2 Na 3.43, 2 Tl 3.62
Pb: 0.5000 0.5866 0.6925  2 Er 3.28, 4 Pb 3.28-3.51, 2 Na 3.43, 2 Tl 3.62
Pb: 0.5000 0.5000 0.0000  4 Er 3.14
Pb: 0.5000 0.9134 0.1925  2 Er 3.28, 4 Pb 3.28-3.51, 2 Na 3.43, 2 Tl 3.62
Pb: 0.5000 0.8075 0.9134  2 Er 3.28, 4 Pb 3.28-3.51, 2 Na 3.43, 2 Tl 3.62
Pb: 0.5000 0.6925 0.4134  2 Er 3.28, 4 Pb 3.28-3.51, 2 Na 3.43, 2 Tl 3.62
Pb: 0.5000 0.0000 0.5000  4 Er 3.14
Pb: 0.5000 0.3075 0.5866  2 Er 3.28, 4 Pb 3.28-3.51, 2 Na 3.43, 2 Tl 3.62
Na: 0.0000 0.5000 0.5000  8 Pb 3.43
Na: 0.0000 0.0000 0.0000  8 Pb 3.43
Er: 0.0000 0.3799 0.1201  6 Pb 3.14-3.28, 3 Tl 3.14-3.34
Er: 0.0000 0.6201 0.8799  6 Pb 3.14-3.28, 3 Tl 3.14-3.34
Er: 0.0000 0.1201 0.6201  6 Pb 3.14-3.28, 3 Tl 3.14-3.34
Er: 0.0000 0.8799 0.3799  6 Pb 3.14-3.28, 3 Tl 3.14-3.34
Tl: 0.0000 0.1779 0.3221  3 Er 3.14-3.34
Tl: 0.0000 0.3221 0.8221  3 Er 3.14-3.34
Tl: 0.0000 0.6779 0.1779  3 Er 3.14-3.34
Tl: 0.0000 0.8221 0.6779  3 Er 3.14-3.34

## Properties
* crystal system: tetragonal

=====

A relaxed structure of NaErPd4, computed with PBE-GGA.

Lattice parameters (Å, degrees): 5.3831 5.3831 5.3831 60.00 60.00 60.00
Closest atoms and distances in Å follow each position.
Atoms (fractional coordinates):
Na: 0.2500 0.2500 0.2500  12 Pd 3.16, 4 Er 3.30
Pd: 0.6250 0.6250 0.6250  6 Pd 2.69
Pd: 0.1249 0.6250 0.6250  6 Pd 2.69
Pd: 0.6250 0.1249 0.6250  6 Pd 2.69
Pd: 0.6250 0.6250 0.1249  6 Pd 2.69
Er: 0.0000 0.0000 0.0000  12 Pd 3.16, 4 Na 3.30

## Properties
* crystal system: cubic

=====

A relaxed structure of NaEr2Pd, computed with PBE-GGA.

Lattice parameters (Å, degrees): 3.4347 3.4347 9.5113 90.00 90.00 90.00
Closest atoms and distances in Å follow each position.
Atoms (fractional coordinates):
Er: 0.0000 0.0000 0.1784  4 Pd 2.96
Er: 0.0000 0.0000 0.8216  4 Pd 2.96
Na: 0.5000 0.5000 0.5000  4 Na 3.43
Pd: 0.5000 0.5000 0.0000  8 Er 2.96

## Properties
* crystal system: tetragonal

=====

A relaxed structure of NaEr2Pd9, computed with PBE-GGA.

Lattice parameters (Å, degrees): 4.1168 4.1168 12.0469 90.00 90.00 90.00
Closest atoms and distances in Å follow each position.
Atoms (fractional coordinates):
Er: 0.0000 0.0000 0.6700  12 Pd 2.86-2.91
Er: 0.0000 0.0000 0.3300  12 Pd 2.86-2.91
Pd: 0.5000 0.5000 0.3312  8 Pd 2.87-2.89, 4 Er 2.91
Pd: 0.5000 0.0000 0.5000  8 Pd 2.89-2.91, 4 Er 2.90
Pd: 0.5000 0.5000 0.0000  8 Pd 2.86, 4 Na 2.91
Pd: 0.5000 0.0000 0.8352  8 Pd 2.86-2.91, 2 Na 2.86, 2 Er 2.86
Pd: 0.0000 0.5000 0.8352  2 Na 2.86, 8 Pd 2.86-2.91, 2 Er 2.86
Pd: 0.5000 0.0000 0.1648  8 Pd 2.86-2.91, 2 Na 2.86, 2 Er 2.86
Pd: 0.0000 0.5000 0.1648  2 Na 2.86, 8 Pd 2.86-2.91, 2 Er 2.86
Pd: 0.0000 0.5000 0.5000  8 Pd 2.89-2.91, 4 Er 2.90
Pd: 0.5000 0.5000 0.6688  8 Pd 2.87-2.89, 4 Er 2.91
Na: 0.0000 0.0000 0.0000  12 Pd 2.86-2.91

## Properties
* crystal system: tetragonal

=====

Number 1: DOS(E_F) 0.732 states/eV per atom, VASP energy -3.501 eV/atom. Number 2: DOS(E_F) 0.560 states/eV per atom, VASP energy -4.990 eV/atom. Number 3: DOS(E_F) 0.798 states/eV per atom, VASP energy -4.226 eV/atom. Number 4: DOS(E_F) 0.810 states/eV per atom, VASP energy -5.369 eV/atom.